The following is a SCAN calculation of a PBEsol-optimized structure of CaSi, from Alexandria via LeMat-Bulk.

Structure (POSCAR):
```
CaSi
1.0
3.866 0.000 0.000
0.000 4.475 0.000
0.000 -2.238 5.328
Ca Si
2 2
Direct
0.250 0.860 0.721 Ca
0.750 0.140 0.279 Ca
0.250 0.569 0.138 Si
0.750 0.431 0.862 Si
```

* space group: Cmcm
* uncorrected energy: -41.62 eV for the cell shown
* DOS at the Fermi energy: 0.357 states/eV/atom